Record 1
# RbMo2Pt2 meta-GGA SCAN single point on PBEsol structure
# D(E_F)   3.0 states/eV/f.u.
# E_form   2.60 eV per formula unit
# Calculated density   10.8 g/cm³
data_RbMo2Pt2
_space_group_name_H-M_alt 'I 4/m m m'
_space_group_IT_number 139
_space_group_name_Hall '-I 4 2'
_cell_length_a 4.816
_cell_length_b 4.816
_cell_length_c 8.849
_cell_angle_alpha 90.00
_cell_angle_beta 90.00
_cell_angle_gamma 90.00
loop_
_atom_site_label
_atom_site_fract_x
_atom_site_fract_y
_atom_site_fract_z
_atom_site_occupancy
Rb1 0.000 0.000 0.000 1
Mo1 0.000 0.000 0.369 1
Pt1 0.000 0.500 0.250 1



Record 2
# Rb3MoPt meta-GGA SCAN single point on PBEsol structure
# Offset from the most stable computed form   0.000 eV per formula unit
# D(E_F)   0.0 states/eV/f.u.
# E_form   4.77 eV per formula unit
# Calculated density   3.7 g/cm³
data_Rb3MoPt
_space_group_name_H-M_alt 'P m -3 m'
_space_group_IT_number 221
_space_group_name_Hall '-P 4 2 3'
_cell_length_a 6.261
_cell_length_b 6.261
_cell_length_c 6.261
_cell_angle_alpha 90.00
_cell_angle_beta 90.00
_cell_angle_gamma 90.00
loop_
_atom_site_label
_atom_site_fract_x
_atom_site_fract_y
_atom_site_fract_z
_atom_site_occupancy
Rb1 0.000 0.000 0.500 1
Mo1 0.500 0.500 0.500 1
Pt1 0.000 0.000 0.000 1



Record 3
# Rb2TaMoPt meta-GGA SCAN single point on PBEsol structure
# D(E_F)   7.1 states/eV/f.u.
# E_form   10.08 eV per formula unit
# Calculated density   5.7 g/cm³
data_Rb2TaMoPt
_space_group_name_H-M_alt 'P 4/m m m'
_space_group_IT_number 123
_space_group_name_Hall '-P 4 2'
_cell_length_a 6.442
_cell_length_b 6.442
_cell_length_c 4.532
_cell_angle_alpha 90.00
_cell_angle_beta 90.00
_cell_angle_gamma 90.00
loop_
_atom_site_label
_atom_site_fract_x
_atom_site_fract_y
_atom_site_fract_z
_atom_site_occupancy
Rb1 0.000 0.500 0.000 1
Ta1 0.000 0.000 0.000 1
Mo1 0.000 0.000 0.500 1
Pt1 0.500 0.500 0.500 1



Record 4
# ReMoPt4 meta-GGA SCAN single point on PBEsol structure
# D(E_F)   3.1 states/eV/f.u.
# E_form   2.08 eV per formula unit
# Calculated density   18.9 g/cm³
data_ReMoPt4
_space_group_name_H-M_alt 'F -4 3 m'
_space_group_IT_number 216
_space_group_name_Hall 'F -4 2 3'
_cell_length_a 7.197
_cell_length_b 7.197
_cell_length_c 7.197
_cell_angle_alpha 90.00
_cell_angle_beta 90.00
_cell_angle_gamma 90.00
loop_
_atom_site_label
_atom_site_fract_x
_atom_site_fract_y
_atom_site_fract_z
_atom_site_occupancy
Re1 0.000 0.000 0.000 1
Mo1 0.250 0.250 0.250 1
Pt1 0.125 0.125 0.625 1



Record 5
# Re2MoPt meta-GGA SCAN single point on PBEsol structure
# Offset from the most stable computed form   0.837 eV per formula unit
# D(E_F)   3.0 states/eV/f.u.
# E_form   0.10 eV per formula unit
# Calculated density   18.6 g/cm³
data_Re2MoPt
_space_group_name_H-M_alt 'P m m m'
_space_group_IT_number 47
_space_group_name_Hall '-P 2 2'
_cell_length_a 2.733
_cell_length_b 3.928
_cell_length_c 5.520
_cell_angle_alpha 90.00
_cell_angle_beta 90.00
_cell_angle_gamma 90.00
loop_
_atom_site_label
_atom_site_fract_x
_atom_site_fract_y
_atom_site_fract_z
_atom_site_occupancy
Re1 0.000 0.000 0.238 1
Mo1 0.500 0.500 0.000 1
Pt1 0.500 0.500 0.500 1



Record 6
# Re2MoPt meta-GGA SCAN single point on PBEsol structure
# Offset from the most stable computed form   0.097 eV per formula unit
# D(E_F)   2.4 states/eV/f.u.
# E_form   -0.64 eV per formula unit
# Calculated density   18.7 g/cm³
data_Re2MoPt
_space_group_name_H-M_alt 'I -4 m 2'
_space_group_IT_number 119
_space_group_name_Hall 'I -4 -2'
_cell_length_a 3.904
_cell_length_b 3.904
_cell_length_c 7.710
_cell_angle_alpha 90.00
_cell_angle_beta 90.00
_cell_angle_gamma 90.00
loop_
_atom_site_label
_atom_site_fract_x
_atom_site_fract_y
_atom_site_fract_z
_atom_site_occupancy
Re1 0.000 0.000 0.000 1
Re2 0.000 0.500 0.250 1
Mo1 0.000 0.500 0.750 1
Pt1 0.000 0.000 0.500 1



Record 7
# ReMoPt meta-GGA SCAN single point on PBEsol structure
# D(E_F)   2.4 states/eV/f.u.
# E_form   -0.31 eV per formula unit
# Calculated density   17.8 g/cm³
data_ReMoPt
_space_group_name_H-M_alt 'I m m 2'
_space_group_IT_number 44
_space_group_name_Hall 'I 2 -2'
_cell_length_a 2.639
_cell_length_b 4.060
_cell_length_c 8.319
_cell_angle_alpha 90.00
_cell_angle_beta 90.00
_cell_angle_gamma 90.00
loop_
_atom_site_label
_atom_site_fract_x
_atom_site_fract_y
_atom_site_fract_z
_atom_site_occupancy
Re1 0.000 0.000 0.000 1
Mo1 0.000 0.000 0.664 1
Pt1 0.000 0.000 0.333 1



Record 8
# ReMo2Pt meta-GGA SCAN single point on PBEsol structure
# Offset from the most stable computed form   0.101 eV per formula unit
# D(E_F)   2.7 states/eV/f.u.
# E_form   -0.68 eV per formula unit
# Calculated density   16.0 g/cm³
data_ReMo2Pt
_space_group_name_H-M_alt 'I 4/m m m'
_space_group_IT_number 139
_space_group_name_Hall '-I 4 2'
_cell_length_a 3.922
_cell_length_b 3.922
_cell_length_c 7.737
_cell_angle_alpha 90.00
_cell_angle_beta 90.00
_cell_angle_gamma 90.00
loop_
_atom_site_label
_atom_site_fract_x
_atom_site_fract_y
_atom_site_fract_z
_atom_site_occupancy
Re1 0.000 0.000 0.000 1
Mo1 0.000 0.500 0.250 1
Pt1 0.000 0.000 0.500 1



Record 9
# ReMo2Pt meta-GGA SCAN single point on PBEsol structure
# Offset from the most stable computed form   0.000 eV per formula unit
# D(E_F)   2.3 states/eV/f.u.
# E_form   -0.78 eV per formula unit
# Calculated density   16.0 g/cm³
data_ReMo2Pt
_space_group_name_H-M_alt 'P 4/m m m'
_space_group_IT_number 123
_space_group_name_Hall '-P 4 2'
_cell_length_a 3.908
_cell_length_b 3.908
_cell_length_c 3.888
_cell_angle_alpha 90.00
_cell_angle_beta 90.00
_cell_angle_gamma 90.00
loop_
_atom_site_label
_atom_site_fract_x
_atom_site_fract_y
_atom_site_fract_z
_atom_site_occupancy
Re1 0.000 0.000 0.000 1
Mo1 0.000 0.500 0.500 1
Pt1 0.500 0.500 0.000 1



Record 10
# ReMo2Pt meta-GGA SCAN single point on PBEsol structure
# Offset from the most stable computed form   1.354 eV per formula unit
# D(E_F)   3.9 states/eV/f.u.
# E_form   0.57 eV per formula unit
# Calculated density   15.8 g/cm³
data_ReMo2Pt
_space_group_name_H-M_alt 'R 3 m'
_space_group_IT_number 160
_space_group_name_Hall 'R 3 -2"'
_cell_length_a 2.7492
_cell_length_b 2.7492
_cell_length_c 27.5925
_cell_angle_alpha 90.00
_cell_angle_beta 90.00
_cell_angle_gamma 120.00
loop_
_atom_site_label
_atom_site_fract_x
_atom_site_fract_y
_atom_site_fract_z
_atom_site_occupancy
Re1 0.0000 0.0000 0.0000 1
Mo1 0.0000 0.0000 0.5007 1
Mo2 0.0000 0.0000 0.7478 1
Pt1 0.0000 0.0000 0.2499 1



- Which of these has the highest calculated density?
  ReMoPt4